This record from Alexandria via LeMat-Bulk describes crystalline Cd6GaHg5 at its relaxed geometry. The functional is PBE.

Results
raw total energy	-0.805	eV/atom
E above lowest polymorph	0.0	meV per atom
calculated formation energy	0.03	eV per atom

a = 9.401 Å, b = 6.095 Å, c = 5.969 Å
α = 59.30°, β = 83.22°, γ = 76.64°
Fractional positions:
Hg  0.500  0.172  0.656
Hg  0.500  0.828  0.344
Hg  0.000  0.666  0.667
Hg  0.000  0.334  0.333
Hg  0.500  0.500  0.000
Cd  0.248  0.235  0.000
Cd  0.245  0.587  0.325
Cd  0.752  0.765  0.000
Cd  0.245  0.913  0.675
Cd  0.755  0.413  0.675
Cd  0.755  0.087  0.325
Ga  0.000  0.000  0.000



This record from Alexandria via LeMat-Bulk describes crystalline Cd2GaHg4 at its relaxed geometry. The functional is PBE.

Results
raw total energy	-0.750	eV/atom
E above lowest polymorph	69.5	meV per atom
calculated formation energy	0.12	eV per atom

a = 5.372 Å, b = 5.372 Å, c = 8.254 Å
α = 108.99°, β = 108.99°, γ = 90.00°
Fractional positions:
Cd  0.385  0.385  0.771
Cd  0.615  0.615  0.229
Hg  0.810  0.810  0.619
Hg  0.190  0.190  0.381
Hg  0.500  0.000  0.000
Hg  0.000  0.500  0.000
Ga  0.000  0.000  0.000



This record from Alexandria via LeMat-Bulk describes crystalline Cd3GaHg3 at its relaxed geometry. The functional is PBE.

Results
raw total energy	-0.583	eV/atom
E above lowest polymorph	325.2	meV per atom
calculated formation energy	0.37	eV per atom

a = 7.997 Å, b = 7.997 Å, c = 7.997 Å
α = 90.00°, β = 90.00°, γ = 90.00°
Fractional positions:
Hg  0.750  0.500  0.000
Hg  0.500  0.000  0.750
Hg  0.500  0.000  0.250
Hg  0.250  0.500  0.000
Hg  0.000  0.250  0.500
Hg  0.000  0.750  0.500
Cd  0.500  0.750  0.000
Cd  0.750  0.000  0.500
Cd  0.000  0.500  0.250
Cd  0.250  0.000  0.500
Cd  0.500  0.250  0.000
Cd  0.000  0.500  0.750
Ga  0.000  0.000  0.000
Ga  0.500  0.500  0.500



This record from Alexandria via LeMat-Bulk describes crystalline Cd12GaHg7 at its relaxed geometry. The functional is PBE.

Results
raw total energy	-0.757	eV/atom
E above lowest polymorph	14.9	meV per atom
calculated formation energy	0.05	eV per atom

a = 8.136 Å, b = 8.136 Å, c = 8.136 Å
α = 103.10°, β = 103.10°, γ = 103.10°
Fractional positions:
Cd  0.550  0.962  0.677
Cd  0.236  0.665  0.347
Cd  0.962  0.677  0.550
Cd  0.665  0.347  0.236
Cd  0.677  0.550  0.962
Cd  0.335  0.653  0.764
Cd  0.038  0.323  0.450
Cd  0.323  0.450  0.038
Cd  0.450  0.038  0.323
Cd  0.653  0.764  0.335
Cd  0.764  0.335  0.653
Cd  0.347  0.236  0.665
Hg  0.336  0.067  0.947
Hg  0.933  0.053  0.664
Hg  0.053  0.664  0.933
Hg  0.947  0.336  0.067
Hg  0.067  0.947  0.336
Hg  0.500  0.500  0.500
Hg  0.664  0.933  0.053
Ga  0.000  0.000  0.000